No. 1
Below is a relaxed TePAuCl2 crystal, with properties calculated at the PBE level.

a b c (Å): 5.1230 5.1230 5.5201
angles (deg): 90.00 90.00 90.00
With the nearest neighbours (Å) after each atom.
Space group P4/mmm (No. 123)
Symmetry-distinct sites (fractional):
Te  0.0000  0.0000  0.0000 x1  4 Cl 2.56, 2 P 2.76
P  0.0000  0.0000  0.5000 x1  2 Te 2.76
Au  0.5000  0.5000  0.5000 x1  4 P 3.62, 8 Cl 3.77
Cl  0.0000  0.5000  0.0000 x2  2 Te 2.56

Properties
**M_tot**: 0.93 μB per cell
**D(E_F)**: 0.44 states/eV per atom
**ΔE_f (raw)**: 0.627 eV/atom

***

No. 2
Below is a relaxed TlP2AuCl crystal, with properties calculated at the PBE level.

a b c (Å): 4.6965 4.6965 6.8093
angles (deg): 90.00 90.00 90.00
With the nearest neighbours (Å) after each atom.
Space group P4/mmm (No. 123)
Symmetry-distinct sites (fractional):
Tl  0.0000  0.0000  0.0000 x1  4 Cl 3.32
P  0.0000  0.5000  0.5000 x2  2 Au 2.35
Au  0.5000  0.5000  0.5000 x1  4 P 2.35
Cl  0.5000  0.5000  0.0000 x1  4 Tl 3.32, 2 Au 3.40

Properties
**M_tot**: 1.27 μB per cell
**D(E_F)**: 0.91 states/eV per atom
**ΔE_f (raw)**: 0.447 eV/atom

***

no.,uncorrected energy (eV/atom),offset from the most stable computed form (meV per atom)
1,-2.478,170.7
2,-3.215,0.0